DFT (PBE) results for a geometry-optimized Tb2MgP3Rh12 structure.

abc: 6.6700 6.6700 6.6700
angles: 83.22 83.22 83.22
With the nearest neighbours (Å) after each atom.
Sites, in units of the cell vectors:
Tb1 0.1278 0.1278 0.1278  3 Rh 2.57
Tb2 0.8722 0.8722 0.8722  3 Rh 2.57
Mg1 0.5000 0.5000 0.5000  6 Rh 2.58
P1 0.0000 0.5000 0.5000  2 Rh 2.23
P2 0.5000 0.0000 0.5000  2 Rh 2.23
P3 0.5000 0.5000 0.0000  2 Rh 2.23
Rh1 0.1307 0.1307 0.5936  2 P 2.54, 1 Rh 2.69
Rh2 0.1307 0.5936 0.1307  2 P 2.54, 1 Rh 2.69
Rh3 0.1704 0.6746 0.6746  1 P 2.23
Rh4 0.3254 0.3254 0.8296  1 P 2.23
Rh5 0.3254 0.8296 0.3254  1 P 2.23
Rh6 0.4064 0.8693 0.8693  2 P 2.54, 1 Rh 2.69
Rh7 0.5936 0.1307 0.1307  2 P 2.54, 1 Rh 2.69
Rh8 0.6746 0.1704 0.6746  1 P 2.23
Rh9 0.6746 0.6746 0.1704  1 P 2.23
Rh10 0.8296 0.3254 0.3254  1 P 2.23
Rh11 0.8693 0.4064 0.8693  2 P 2.54, 1 Rh 2.69
Rh12 0.8693 0.8693 0.4064  2 P 2.54, 1 Rh 2.69

E = -6.750 eV/atom
V = 16.17 Å³ per atom
Energy relative to the elements = -344 meV per atom

---

DFT (PBE) results for a geometry-optimized MgCrFeMo2 structure.

abc: 4.5590 4.5590 4.3075
angles: 90.00 90.00 90.00
With the nearest neighbours (Å) after each atom.
Sites, in units of the cell vectors:
Mg1 0.0000 0.0000 0.0000  2 Cr 2.15, 4 Mo 2.28
Cr1 0.0000 0.0000 0.5000  2 Mg 2.15
Fe1 0.5000 0.5000 0.5000  8 Mo 3.14, 4 Cr 3.22
Mo1 0.0000 0.5000 0.0000  2 Mg 2.28
Mo2 0.5000 0.0000 0.0000  2 Mg 2.28

E = -5.891 eV/atom
V = 17.91 Å³ per atom
Energy relative to the elements = 2378 meV per atom

---

DFT (PBE) results for a geometry-optimized Sr2CaPaAs4 structure.

abc: 7.4286 4.3474 7.5558
angles: 90.00 109.77 90.00
With the nearest neighbours (Å) after each atom.
Sites, in units of the cell vectors:
Sr1 0.0000 0.0000 0.0000  6 As 3.24-3.28
Sr2 0.5000 0.5000 0.0000  6 As 3.12-3.13
Ca1 0.0000 0.5000 0.5000  6 As 3.01-3.03
Pa1 0.5000 0.0000 0.5000  6 As 2.85-2.89
As1 0.2587 0.0000 0.7233  1 Pa 2.85, 2 Ca 3.01, 2 Sr 3.13
As2 0.2748 0.5000 0.2820  2 Pa 2.89, 1 Ca 3.03, 3 Sr 3.12-3.24
As3 0.7252 0.5000 0.7180  2 Pa 2.89, 1 Ca 3.03, 3 Sr 3.12-3.24
As4 0.7413 0.0000 0.2767  1 Pa 2.85, 2 Ca 3.01, 2 Sr 3.13

E = -5.276 eV/atom
V = 28.71 Å³ per atom
Energy relative to the elements = -1094 meV per atom

---

DFT (PBE) results for a geometry-optimized ZrAlOF2 structure.

abc: 4.4181 4.4181 4.1173
angles: 90.00 90.00 90.00
With the nearest neighbours (Å) after each atom.
Sites, in units of the cell vectors:
Zr1 0.0000 0.0000 0.0000  2 O 2.06, 4 F 2.21
Al1 0.5000 0.5000 0.5000  8 F 3.02, 4 O 3.12
O1 0.0000 0.0000 0.5000  2 Zr 2.06
F1 0.0000 0.5000 0.0000  2 Zr 2.21
F2 0.5000 0.0000 0.0000  2 Zr 2.21

Distance to the lowest polymorph of the same formula = 0 meV per atom
E = -6.362 eV/atom
Formation energy from raw total energies = -208.77 kJ/mol of atoms
V = 16.07 Å³ per atom

---

DFT (PBE) results for a geometry-optimized NpPa2Si3Ir4 structure.

abc: 4.0876 4.0876 10.8988
angles: 90.00 90.00 90.00
With the nearest neighbours (Å) after each atom.
Sites, in units of the cell vectors:
Np1 0.0000 0.0000 0.0000  4 Ir 2.70, 4 Si 2.89
Pa1 0.0000 0.5000 0.7341  8 Ir 3.11-3.27, 4 Si 3.14
Pa2 0.5000 0.0000 0.2659  8 Ir 3.11-3.27, 4 Si 3.14
Si1 0.0000 0.5000 0.3792  5 Ir 2.37-2.43
Si2 0.5000 0.0000 0.6208  5 Ir 2.37-2.43
Si3 0.5000 0.5000 0.0000  4 Ir 2.70, 4 Np 2.89
Ir1 0.0000 0.0000 0.5000  4 Si 2.43
Ir2 0.0000 0.5000 0.1614  1 Si 2.37
Ir3 0.5000 0.0000 0.8386  1 Si 2.37
Ir4 0.5000 0.5000 0.5000  4 Si 2.43

E = -9.143 eV/atom
Formation energy from raw total energies = -75.06 kJ/mol of atoms
V = 18.21 Å³ per atom

---

DFT (PBE) results for a geometry-optimized Rb2AlIr structure.

abc: 12.4420 12.4420 12.4420
angles: 160.77 160.77 27.33
With the nearest neighbours (Å) after each atom.
Sites, in units of the cell vectors:
Rb1 0.1221 0.6250 0.9971  4 Rb 2.92-2.96
Rb2 0.3750 0.3721 0.4971  4 Rb 2.92-2.96
Rb3 0.6279 0.1250 0.0029  4 Rb 2.92-2.96
Rb4 0.8750 0.8779 0.5029  4 Rb 2.92-2.96
Al1 0.2500 0.7500 0.5000  4 Ir 2.94
Al2 0.5000 0.5000 0.0000  4 Ir 2.94
Ir1 0.0000 0.0000 0.0000  4 Al 2.94
Ir2 0.7500 0.2500 0.5000  4 Al 2.94

E = -2.645 eV/atom
V = 26.11 Å³ per atom
Energy relative to the elements = 990 meV per atom

---

DFT (PBE) results for a geometry-optimized Ce2CuGe4Au3 structure.

abc: 4.3443 4.3443 10.8288
angles: 90.00 90.00 90.00
With the nearest neighbours (Å) after each atom.
Sites, in units of the cell vectors:
Ce1 0.0000 0.5000 0.2357  8 Ge 3.29-3.59, 2 Cu 3.35, 6 Au 3.35
Ce2 0.5000 0.0000 0.7643  8 Ge 3.29-3.59, 2 Cu 3.35, 6 Au 3.35
Cu1 0.5000 0.5000 0.0000  4 Ge 2.58
Ge1 0.0000 0.0000 0.5000  4 Au 2.65
Ge2 0.0000 0.5000 0.8722  3 Au 2.51-2.58, 2 Cu 2.58
Ge3 0.5000 0.0000 0.1278  3 Au 2.51-2.58, 2 Cu 2.58
Ge4 0.5000 0.5000 0.5000  4 Au 2.65
Au1 0.0000 0.0000 0.0000  4 Ge 2.58
Au2 0.0000 0.5000 0.6406  5 Ge 2.51-2.65
Au3 0.5000 0.0000 0.3594  5 Ge 2.51-2.65

E = -4.906 eV/atom
V = 20.44 Å³ per atom
Energy relative to the elements = -480 meV per atom

---

DFT (PBE) results for a geometry-optimized RbSi structure.

abc: 8.6340 8.6340 8.6340
angles: 109.47 109.47 109.47
With the nearest neighbours (Å) after each atom.
Sites, in units of the cell vectors:
Rb1 0.0000 0.0000 0.4227  4 Si 3.45-3.49
Rb2 0.0000 0.4227 0.0000  4 Si 3.45-3.49
Rb3 0.4227 0.0000 0.0000  4 Si 3.45-3.49
Rb4 0.5773 0.5773 0.5773  4 Si 3.45-3.49
Si1 0.0000 0.0000 0.8273  3 Si 2.44
Si2 0.0000 0.8273 0.0000  3 Si 2.44
Si3 0.1727 0.1727 0.1727  3 Si 2.44
Si4 0.8273 0.0000 0.0000  3 Si 2.44

Distance to the lowest polymorph of the same formula = 128 meV per atom
E = -3.116 eV/atom
Formation energy from raw total energies = 7.65 kJ/mol of atoms
V = 61.93 Å³ per atom

---

DFT (PBE) results for a geometry-optimized SrGa2Te2 structure.

abc: 8.9484 8.9484 8.9484
angles: 152.68 152.68 39.02
With the nearest neighbours (Å) after each atom.
Sites, in units of the cell vectors:
Sr1 0.0000 0.0000 0.0000  8 Te 3.45
Ga1 0.2500 0.7500 0.5000  4 Ga 2.99, 4 Te 3.27
Ga2 0.7500 0.2500 0.5000  4 Ga 2.99, 4 Te 3.27
Te1 0.3976 0.3976 0.0000  4 Ga 3.27, 4 Sr 3.45, 1 Te 3.45
Te2 0.6024 0.6024 0.0000  4 Ga 3.27, 4 Sr 3.45, 1 Te 3.45

Distance to the lowest polymorph of the same formula = 15 meV per atom
E = -3.382 eV/atom
Formation energy from raw total energies = -55.83 kJ/mol of atoms
V = 30.13 Å³ per atom

---

DFT (PBE) results for a geometry-optimized Li5Mg2Tl3 structure.

abc: 7.5771 7.5771 8.4449
angles: 106.09 106.09 98.77
With the nearest neighbours (Å) after each atom.
Sites, in units of the cell vectors:
Li1 0.0085 0.9915 0.7500  3 Tl 2.77-2.84, 3 Li 2.93-3.02, 2 Mg 3.06
Li2 0.1287 0.3810 0.7585  2 Tl 2.80-2.84, 3 Li 2.89-2.93, 1 Mg 3.02
Li3 0.2538 0.7462 0.2500  4 Li 2.72-3.02, 2 Tl 2.92
Li4 0.3810 0.1287 0.2585  2 Tl 2.80-2.84, 3 Li 2.89-2.93, 1 Mg 3.02
Li5 0.4905 0.5095 0.2500  3 Li 2.72-2.90, 2 Mg 2.97, 3 Tl 2.99-3.02
Li6 0.5095 0.4905 0.7500  3 Li 2.72-2.90, 2 Mg 2.97, 3 Tl 2.99-3.02
Li7 0.6190 0.8713 0.7415  2 Tl 2.80-2.84, 3 Li 2.89-2.93, 1 Mg 3.02
Li8 0.7462 0.2538 0.7500  4 Li 2.72-3.02, 2 Tl 2.92
Li9 0.8713 0.6190 0.2415  2 Tl 2.80-2.84, 3 Li 2.89-2.93, 1 Mg 3.02
Li10 0.9915 0.0085 0.2500  3 Tl 2.77-2.84, 3 Li 2.93-3.02, 2 Mg 3.06
Mg1 0.1850 0.4315 0.4316  3 Tl 2.91-3.12, 7 Li 2.97-3.23
Mg2 0.4315 0.1850 0.9316  3 Tl 2.91-3.12, 7 Li 2.97-3.23
Mg3 0.5685 0.8150 0.0684  3 Tl 2.91-3.12, 7 Li 2.97-3.23
Mg4 0.8150 0.5685 0.5684  3 Tl 2.91-3.12, 7 Li 2.97-3.23
Tl1 0.0780 0.3095 0.0525  4 Li 2.80-3.02, 1 Mg 2.91
Tl2 0.2496 0.7504 0.7500  4 Li 2.77-2.99, 2 Mg 2.94
Tl3 0.3095 0.0780 0.5525  4 Li 2.80-3.02, 1 Mg 2.91
Tl4 0.6905 0.9220 0.4475  4 Li 2.80-3.02, 1 Mg 2.91
Tl5 0.7504 0.2496 0.2500  4 Li 2.77-2.99, 2 Mg 2.94
Tl6 0.9220 0.6905 0.9475  4 Li 2.80-3.02, 1 Mg 2.91

E = -2.098 eV/atom
V = 21.68 Å³ per atom
Energy relative to the elements = -112 meV per atom

---

DFT (PBE) results for a geometry-optimized NaLi2IrCl6 structure.

abc: 6.9864 6.9864 6.9864
angles: 54.82 54.82 54.82
With the nearest neighbours (Å) after each atom.
Sites, in units of the cell vectors:
Na1 0.0000 0.0000 0.0000  6 Cl 2.72-2.90
Li1 0.2925 0.2925 0.2925  6 Cl 2.54-2.74
Li2 0.8085 0.8085 0.8085  6 Cl 2.51-2.66
Ir1 0.4854 0.4854 0.4854  6 Cl 2.36-2.39
Cl1 0.1013 0.6838 0.4297  1 Ir 2.36, 1 Li 2.51
Cl2 0.2461 0.5663 0.8666  1 Ir 2.39, 2 Li 2.54-2.66
Cl3 0.4297 0.1013 0.6838  1 Ir 2.36, 1 Li 2.51
Cl4 0.5663 0.8666 0.2461  1 Ir 2.39, 2 Li 2.54-2.66
Cl5 0.6838 0.4297 0.1013  1 Ir 2.36, 1 Li 2.51
Cl6 0.8666 0.2461 0.5663  1 Ir 2.39, 2 Li 2.54-2.66

E = -3.749 eV/atom
Formation energy from raw total energies = -119.66 kJ/mol of atoms
V = 21.21 Å³ per atom

---

DFT (PBE) results for a geometry-optimized Ta2NiSnC structure.

abc: 4.3569 4.3569 3.9433
angles: 90.00 90.00 90.00
With the nearest neighbours (Å) after each atom.
Sites, in units of the cell vectors:
Ta1 0.0000 0.5000 0.0000  2 C 2.18
Ta2 0.5000 0.0000 0.0000  2 C 2.18
Ni1 0.0000 0.0000 0.5000  2 C 1.97
Sn1 0.5000 0.5000 0.5000  8 Ta 2.94, 4 Ni 3.08
C1 0.0000 0.0000 0.0000  2 Ni 1.97, 4 Ta 2.18

E = -8.573 eV/atom
V = 14.97 Å³ per atom
Energy relative to the elements = -31 meV per atom